Model i:
{
  "formula": "Be2AlTc2",
  "functional": "PBE-GGA",
  "state": "relaxed",
  "spacegroup": "P4/mbm, No. 127",
  "m_tot_mub_per_cell": 0.0,
  "crystal_system": "tetragonal",
  "volume_a3_per_atom": 12.883,
  "lattice": [[6.489, 0.000, 0.000], [0.000, 6.489, 0.000], [0.000, 0.000, 3.059]],
  "species": ["Be", "Be", "Be", "Be", "Al", "Al", "Tc", "Tc", "Tc", "Tc"],
  "fractional_positions": [[0.162, 0.338, 0.000], [0.338, 0.838, 0.000], [0.662, 0.162, 0.000], [0.838, 0.662, 0.000], [0.000, 0.000, 0.500], [0.500, 0.500, 0.500], [0.133, 0.633, 0.500], [0.367, 0.133, 0.500], [0.633, 0.867, 0.500], [0.867, 0.367, 0.500]]
}

=====

Model ii:
{
  "formula": "Be2AlTc2",
  "functional": "PBE-GGA",
  "state": "relaxed",
  "spacegroup": "I4/mmm, No. 139",
  "m_tot_mub_per_cell": 0.0,
  "crystal_system": "tetragonal",
  "volume_a3_per_atom": 13.233,
  "lattice": [[3.612, 0.000, 0.000], [0.000, 3.612, 0.000], [0.000, 0.000, 10.144]],
  "species": ["Be", "Be", "Be", "Be", "Al", "Al", "Tc", "Tc", "Tc", "Tc"],
  "fractional_positions": [[0.000, 0.000, 0.098], [0.000, 0.000, 0.902], [0.500, 0.500, 0.402], [0.500, 0.500, 0.598], [0.000, 0.000, 0.500], [0.500, 0.500, 0.000], [0.000, 0.500, 0.250], [0.000, 0.500, 0.750], [0.500, 0.000, 0.250], [0.500, 0.000, 0.750]]
}

=====

Most stable one: model i, least stable one: model ii.

=====

Model i:
{
  "formula": "BeAlTe",
  "functional": "PBE-GGA",
  "state": "relaxed",
  "spacegroup": "Fmm2, No. 42",
  "m_tot_mub_per_cell": 0.0,
  "crystal_system": "orthorhombic",
  "volume_a3_per_atom": 20.856,
  "lattice": [[3.801, 0.000, 0.000], [0.000, 5.835, 0.000], [0.000, 0.000, 11.283]],
  "species": ["Be", "Be", "Be", "Be", "Al", "Al", "Al", "Al", "Te", "Te", "Te", "Te"],
  "fractional_positions": [[0.000, 0.000, 0.000], [0.000, 0.500, 0.500], [0.500, 0.000, 0.500], [0.500, 0.500, 0.000], [0.000, 0.000, 0.640], [0.000, 0.500, 0.140], [0.500, 0.000, 0.140], [0.500, 0.500, 0.640], [0.000, 0.000, 0.365], [0.000, 0.500, 0.865], [0.500, 0.000, 0.865], [0.500, 0.500, 0.365]]
}

=====

Model ii:
{
  "formula": "BeAlTe",
  "functional": "PBE-GGA",
  "state": "relaxed",
  "spacegroup": "P1, No. 1",
  "m_tot_mub_per_cell": 0.0,
  "crystal_system": "triclinic",
  "volume_a3_per_atom": 21.377,
  "lattice": [[4.246, 0.000, 0.000], [0.022, 5.233, 0.000], [2.043, 0.215, 5.772]],
  "species": ["Be", "Be", "Al", "Al", "Te", "Te"],
  "fractional_positions": [[0.000, 0.000, 0.000], [0.379, 0.210, 0.692], [0.181, 0.693, 0.697], [0.976, 0.238, 0.512], [0.492, 0.264, 0.044], [0.821, 0.739, 0.381]]
}

=====

Most stable one: model ii, least stable one: model i.

=====

Model i:
{
  "formula": "BeAlTe",
  "functional": "PBE-GGA",
  "state": "relaxed",
  "spacegroup": "I4mm, No. 107",
  "m_tot_mub_per_cell": 0.0,
  "crystal_system": "tetragonal",
  "volume_a3_per_atom": 19.043,
  "lattice": [[3.208, 0.000, 0.000], [0.000, 3.208, 0.000], [0.000, 0.000, 11.102]],
  "species": ["Be", "Be", "Al", "Al", "Te", "Te"],
  "fractional_positions": [[0.000, 0.000, 0.000], [0.500, 0.500, 0.500], [0.000, 0.000, 0.391], [0.500, 0.500, 0.891], [0.000, 0.000, 0.656], [0.500, 0.500, 0.156]]
}

=====

Model ii:
{
  "formula": "BeAlTe",
  "functional": "PBE-GGA",
  "state": "relaxed",
  "spacegroup": "F-43m, No. 216",
  "m_tot_mub_per_cell": 0.0,
  "crystal_system": "cubic",
  "volume_a3_per_atom": 24.057,
  "lattice": [[6.609, 0.000, 0.000], [0.000, 6.609, 0.000], [0.000, 0.000, 6.609]],
  "species": ["Be", "Be", "Be", "Be", "Al", "Al", "Al", "Al", "Te", "Te", "Te", "Te"],
  "fractional_positions": [[0.000, 0.000, 0.000], [0.000, 0.500, 0.500], [0.500, 0.000, 0.500], [0.500, 0.500, 0.000], [0.000, 0.000, 0.500], [0.000, 0.500, 0.000], [0.500, 0.000, 0.000], [0.500, 0.500, 0.500], [0.250, 0.250, 0.250], [0.250, 0.750, 0.750], [0.750, 0.250, 0.750], [0.750, 0.750, 0.250]]
}

=====

Most stable one: model i, least stable one: model ii.